The following is a DFT calculation (PBE-GGA) of a relaxed structure of Zr2HgBr.

POSCAR file:
```
Zr2HgBr
1.0
1.7194 0.9927 10.0869
-1.7194 0.9927 10.0869
0.0000 -1.9854 10.0869
Zr Hg Br
2 1 1
Cartesian
0.0000 0.0000 0.0000
0.0000 0.0000 7.7215
0.0000 0.0000 22.5200
0.0000 0.0000 15.8619
```

As for the density of states at the Fermi level: 4.61 states/eV/f.u. For the uncorrected formation energy, the calculation gives -0.389 eV/atom. The offset from the most stable computed form comes out at 0.00 eV/f.u.